[1]
# VCuSbO6

A relaxed structure of VCuSbO6 (PBE with a Hubbard U, the Alexandria database).

Calculated values
- crystal system = trigonal

Lattice parameters (Å, degrees): 5.1063 5.1063 8.9210 90.00 90.00 120.00
Space group P-31c (No. 163)
Symmetry-distinct sites (fractional):
V 0.3333 0.6667 0.2500 x2
Cu 0.0000 0.0000 0.0000 x2
Sb 0.3333 0.6667 0.7500 x2
O 0.0144 0.3612 0.1319 x12

---

[2]
# VCuSb2O

A relaxed structure of VCuSb2O (PBE with a Hubbard U, the Alexandria database).

Calculated values
- crystal system = tetragonal

Lattice parameters (Å, degrees): 5.426 5.426 3.569 90.00 90.00 90.00
Space group P4/mmm (No. 123)
Symmetry-distinct sites (fractional):
V 0.000 0.000 0.000 x1
Cu 0.500 0.500 0.500 x1
Sb 0.000 0.500 0.000 x2
O 0.000 0.000 0.500 x1

---

no.,raw total energy (eV for the cell shown)
1,-112.87
2,-24.89